7
Lattice="-2.0453 2.0453 15.7562 2.0453 -2.0453 15.7562 2.0453 2.0453 -15.7562" Properties=species:S:1:pos:R:3 comment="GGA-PBE Sr4Cd3, relaxed" formation_enthalpy_0k_kj_per_mol_atoms=-21 spacegroup="I4/mmm, No. 139" final_energy_ev_per_atom=-1.57 polymorph_energy_ev_per_atom=0.030 pbc="T T T"
Sr 0.0000 0.0000 1.9696
Sr 0.0000 0.0000 10.5570
Sr 0.0000 0.0000 20.9554
Sr 0.0000 0.0000 29.5427
Cd 0.0000 0.0000 7.0916
Cd 0.0000 0.0000 15.7562
Cd 0.0000 0.0000 24.4207